Pr4InGa12 | Alexandria | PBE | optimized geometry; SG = No. 229; size of the total moment = 0.000 μB/atom; calculated density = 6862 kg/m3; E_form = -0.51 eV per atom; final energy = -0.28907 Ry per atom
1.0
-2.010 6.199 -4.303
0.179 -6.362 -4.525
-5.231 -1.013 5.709
Ga Pr In
12 4 1
Cartesian
-2.325 1.665 0.451
-1.243 -0.111 -5.994
-2.179 -1.925 -4.118
-4.337 -2.391 0.944
-3.431 -5.008 0.804
-1.622 -2.367 0.380
-2.726 1.215 -4.063
-4.079 2.553 -1.504
-2.984 -3.728 -1.615
-4.917 3.522 0.955
-4.884 0.750 0.999
-0.588 -0.052 -2.834
-2.616 -0.506 2.855
0.089 -3.181 -2.263
-3.531 -0.588 -1.559
-1.005 3.100 -2.152
0.000 0.000 0.000